1.
# Sc4ZnInO | the Alexandria database | PBE | optimized geometry
# - Magnetization: 0.0 μB per formula unit
# - Total DFT energy (no corrections): -5.924 eV per atom
data_Sc4ZnInO
_chemical_formula_sum 'Sc16 Zn4 In4 O4'
_space_group_name_H-M_alt 'C m c m'
_space_group_IT_number 63
_space_group_name_Hall '-C 2c 2'
_cell_length_a 6.107
_cell_length_b 14.779
_cell_length_c 6.117
_cell_angle_alpha 90.00
_cell_angle_beta 90.00
_cell_angle_gamma 90.00
loop_
_atom_site_label
_atom_site_type_symbol
_atom_site_fract_x
_atom_site_fract_y
_atom_site_fract_z
Sc1 Sc 0.000 0.077 0.250
Sc2 Sc 0.000 0.411 0.250
Sc3 Sc 0.250 0.250 0.000
Zn1 Zn 0.000 0.119 0.750
In1 In 0.000 0.391 0.750
O1 O 0.000 0.250 0.250

2.
# KRe2Tc | the Alexandria database | PBE | optimized geometry
# - Calculated formation energy: 0.90 eV per atom
# - Magnetization: 0.0 μB per formula unit
# - Offset from the most stable computed form: 179.1 meV per atom
# - Total DFT energy (no corrections): -8.191 eV per atom
data_KRe2Tc
_chemical_formula_sum 'K1 Re2 Tc1'
_space_group_name_H-M_alt 'P m m m'
_space_group_IT_number 47
_space_group_name_Hall '-P 2 2'
_cell_length_a 2.702
_cell_length_b 3.915
_cell_length_c 8.195
_cell_angle_alpha 90.00
_cell_angle_beta 90.00
_cell_angle_gamma 90.00
loop_
_atom_site_label
_atom_site_type_symbol
_atom_site_fract_x
_atom_site_fract_y
_atom_site_fract_z
K1 K 0.000 0.000 0.000
Re1 Re 0.500 0.500 0.348
Tc1 Tc 0.000 0.000 0.500

3.
# Pm2Ho12Er5 | the Alexandria database | PBE | optimized geometry
# - Calculated formation energy: 0.13 eV per atom
# - Magnetization: 0.0 μB per formula unit
# - Offset from the most stable computed form: 10.5 meV per atom
# - Total DFT energy (no corrections): -4.459 eV per atom
data_Pm2Ho12Er5
_chemical_formula_sum 'Pm4 Ho24 Er10'
_space_group_name_H-M_alt 'C 1 2/m 1'
_space_group_IT_number 12
_space_group_name_Hall '-C 2y'
_cell_length_a 15.690
_cell_length_b 9.166
_cell_length_c 8.462
_cell_angle_alpha 90.00
_cell_angle_beta 91.00
_cell_angle_gamma 90.00
loop_
_atom_site_label
_atom_site_type_symbol
_atom_site_fract_x
_atom_site_fract_y
_atom_site_fract_z
Pm1 Pm 0.000 0.183 0.000
Ho1 Ho 0.058 0.000 0.330
Ho2 Ho 0.094 0.500 0.883
Ho3 Ho 0.126 0.192 0.654
Ho4 Ho 0.157 0.319 0.244
Er1 Er 0.000 0.500 0.500
Er2 Er 0.197 0.000 0.009
Er3 Er 0.232 0.500 0.576

4.
# Tb2Zn2Co15 | the Alexandria database | PBE | optimized geometry
# - Calculated formation energy: -0.09 eV per atom
# - Magnetization: 20.7 μB per formula unit
# - Total DFT energy (no corrections): -6.324 eV per atom
data_Tb2Zn2Co15
_chemical_formula_sum 'Tb6 Zn6 Co45'
_space_group_name_H-M_alt 'R -3 m'
_space_group_IT_number 166
_space_group_name_Hall '-R 3 2"'
_cell_length_a 8.3828
_cell_length_b 8.3828
_cell_length_c 12.1108
_cell_angle_alpha 90.00
_cell_angle_beta 90.00
_cell_angle_gamma 120.00
loop_
_atom_site_label
_atom_site_type_symbol
_atom_site_fract_x
_atom_site_fract_y
_atom_site_fract_z
Tb1 Tb 0.0000 0.0000 0.1518
Zn1 Zn 0.0000 0.0000 0.3971
Co1 Co 0.0000 0.2893 0.5000
Co2 Co 0.0000 0.5000 0.0000
Co3 Co 0.0023 0.5012 0.6506

5.
# SrSi2Sn2 | the Alexandria database | PBE | optimized geometry
# - Magnetization: 0.0 μB per formula unit
# - Offset from the most stable computed form: 0.0 meV per atom
# - Total DFT energy (no corrections): -4.161 eV per atom
data_SrSi2Sn2
_chemical_formula_sum 'Sr2 Si4 Sn4'
_space_group_name_H-M_alt 'P 4/m b m'
_space_group_IT_number 127
_space_group_name_Hall '-P 4 2ab'
_cell_length_a 7.954
_cell_length_b 7.954
_cell_length_c 4.016
_cell_angle_alpha 90.00
_cell_angle_beta 90.00
_cell_angle_gamma 90.00
loop_
_atom_site_label
_atom_site_type_symbol
_atom_site_fract_x
_atom_site_fract_y
_atom_site_fract_z
Sr1 Sr 0.000 0.000 0.000
Si1 Si 0.110 0.390 0.000
Sn1 Sn 0.154 0.654 0.500

6.
# Hf2ZrPd2 | the Alexandria database | PBE | optimized geometry
# - Calculated formation energy: -0.43 eV per atom
# - Magnetization: 0.0 μB per formula unit
# - Offset from the most stable computed form: 87.1 meV per atom
# - Total DFT energy (no corrections): -8.198 eV per atom
data_Hf2ZrPd2
_chemical_formula_sum 'Hf4 Zr2 Pd4'
_space_group_name_H-M_alt 'C m m m'
_space_group_IT_number 65
_space_group_name_Hall '-C 2 2'
_cell_length_a 4.524
_cell_length_b 13.375
_cell_length_c 3.271
_cell_angle_alpha 90.00
_cell_angle_beta 90.00
_cell_angle_gamma 90.00
loop_
_atom_site_label
_atom_site_type_symbol
_atom_site_fract_x
_atom_site_fract_y
_atom_site_fract_z
Hf1 Hf 0.000 0.125 0.000
Zr1 Zr 0.000 0.500 0.500
Pd1 Pd 0.000 0.306 0.500

7.
# CsCuCl6 | the Alexandria database | PBE | optimized geometry
# - Magnetization: 0.0 μB per formula unit
# - Total DFT energy (no corrections): -2.708 eV per atom
data_CsCuCl6
_chemical_formula_sum 'Cs1 Cu1 Cl6'
_space_group_name_H-M_alt 'P -1'
_space_group_IT_number 2
_space_group_name_Hall '-P 1'
_cell_length_a 5.751
_cell_length_b 7.406
_cell_length_c 7.594
_cell_angle_alpha 75.58
_cell_angle_beta 89.14
_cell_angle_gamma 67.53
loop_
_atom_site_label
_atom_site_type_symbol
_atom_site_fract_x
_atom_site_fract_y
_atom_site_fract_z
Cs1 Cs 0.000 0.000 0.000
Cu1 Cu 0.500 0.000 0.500
Cl1 Cl 0.165 0.429 0.087
Cl2 Cl 0.378 0.772 0.666
Cl3 Cl 0.423 0.162 0.712

8.
# HoNpH | the Alexandria database | PBE | optimized geometry
# - Magnetization: 1.2 μB per formula unit
# - Total DFT energy (no corrections): -7.052 eV per atom
data_HoNpH
_chemical_formula_sum 'Ho4 Np4 H4'
_space_group_name_H-M_alt 'C 1 2/m 1'
_space_group_IT_number 12
_space_group_name_Hall '-C 2y'
_cell_length_a 12.325
_cell_length_b 3.477
_cell_length_c 5.571
_cell_angle_alpha 90.00
_cell_angle_beta 111.47
_cell_angle_gamma 90.00
loop_
_atom_site_label
_atom_site_type_symbol
_atom_site_fract_x
_atom_site_fract_y
_atom_site_fract_z
Ho1 Ho 0.109 0.000 0.355
Np1 Np 0.180 0.500 0.915
H1 H 0.074 0.000 0.719